[1]
Entry from Alexandria: a relaxed structure of Cr4ReW5 (PBE).

```
Cr4ReW5
1.0
-0.754 0.184 2.950
-1.883 -2.377 -0.333
11.443 -9.556 3.521
Cr Re W
4 1 5
Direct
0.000 0.000 0.205
0.000 0.000 0.402
0.000 0.000 0.598
0.000 0.000 0.795
0.000 0.000 0.000
0.500 0.500 0.108
0.500 0.500 0.304
0.500 0.500 0.500
0.500 0.500 0.696
0.500 0.500 0.892
```

Computed properties:
ΔH_f (0 K) = 2.6 kJ per mole of atoms
Space-group type = P4/mmm
Size of the total moment = 0.0 μB/f.u.


[2]
Entry from Alexandria: a relaxed structure of CrRe2W (PBE).

```
CrRe2W
1.0
-3.782 -1.183 3.201
0.400 -4.425 2.491
2.211 4.508 -0.859
Re W Cr
2 1 1
Direct
0.006 0.006 0.000
0.745 0.245 0.500
0.492 0.492 0.000
0.257 0.757 0.500
```

Computed properties:
ΔH_f (0 K) = 8.3 kJ per mole of atoms
Space-group type = Imm2
Size of the total moment = 0.0 μB/f.u.